A plane-wave DFT calculation with GGA-PBE was carried out for PrGd2Th after structural relaxation.

POSCAR file:
```
PrGd2Th
1.0
-2.042 1.209 -2.702
-2.885 -1.549 1.487
-1.897 8.607 5.287
Pr Gd Th
1 2 1
direct
0.500 0.500 0.500
0.000 0.000 0.763
0.000 0.000 0.237
0.500 0.500 0.000
```

Output
final energy	-10.07	eV per atom
SG	P4/mmm, No. 123
spin magnetization	14.253	μB/f.u.
crystal system	tetragonal
N(E_F)	6.20	states/eV/cell
mass density	8.589	g/cm3
energy relative to the elements	0.022	eV/atom


A plane-wave DFT calculation with GGA-PBE was carried out for PrGd2Th after structural relaxation.

POSCAR file:
```
PrGd2Th
1.0
5.095 0.000 0.000
0.000 5.101 0.000
0.000 0.000 5.101
Pr Gd Th
1 2 1
direct
0.500 0.500 0.500
0.000 0.000 0.500
0.000 0.500 0.000
0.500 0.000 0.000
```

Output
final energy	-10.04	eV per atom
SG	P4/mmm, No. 123
spin magnetization	14.409	μB/f.u.
crystal system	tetragonal
N(E_F)	5.23	states/eV/cell
mass density	8.609	g/cm3
energy relative to the elements	0.051	eV/atom